# 1
VASP calculation (PBE-GGA) on a geometry-optimized Ti4AlOs3 structure.

## Properties
Total magnetic moment, μB per formula unit: 0.00
Energy of formation from the pure elements, eV/atom: -0.618
Density, g/cm3: 10.93
VASP energy, eV per formula unit: -73.95

abc: 3.1263 4.3808 8.7568
angles: 90.00 90.00 90.00
Last column: nearest neighbours and their distance in Å.
Space group Pmmm (No. 47)
Symmetry-distinct sites (fractional):
Ti 0.0000 0.0000 0.0000 [1 per cell]  8 Os 2.69-2.72
Ti 0.0000 0.0000 0.5000 [1 per cell]  4 Os 2.66, 4 Al 2.69
Ti 0.0000 0.5000 0.2431 [2 per cell]  6 Os 2.64-2.69, 2 Al 2.74
Al 0.5000 0.5000 0.5000 [1 per cell]  8 Ti 2.69-2.74
Os 0.5000 0.0000 0.2535 [2 per cell]  8 Ti 2.66-2.72
Os 0.5000 0.5000 0.0000 [1 per cell]  8 Ti 2.64-2.69

# 2
VASP calculation (PBE-GGA) on a geometry-optimized Ti6Al16Os7 structure.

## Properties
Total magnetic moment, μB per formula unit: 0.00
Energy of formation from the pure elements, eV/atom: -0.468
Density, g/cm3: 7.54
VASP energy, eV per formula unit: -199.44

abc: 12.1799 12.1799 12.1799
angles: 90.00 90.00 90.00
Last column: nearest neighbours and their distance in Å.
Space group Fm-3m (No. 225)
Symmetry-distinct sites (fractional):
Ti 0.0000 0.0000 0.2197 [24 per cell]  8 Al 2.79-2.85, 4 Os 3.07
Al 0.1212 0.1212 0.3788 [32 per cell]  4 Os 2.56-2.66, 3 Al 2.79, 3 Ti 2.85
Al 0.1552 0.1552 0.1552 [32 per cell]  3 Os 2.50, 3 Al 2.79, 3 Ti 2.79
Os 0.0000 0.0000 0.5000 [4 per cell]  8 Al 2.56
Os 0.0000 0.2500 0.2500 [24 per cell]  8 Al 2.50-2.66

# 3
VASP calculation (PBE-GGA) on a geometry-optimized TiAl5Os6 structure.

## Properties
Total magnetic moment, μB per formula unit: 0.00
Energy of formation from the pure elements, eV/atom: -0.459
Density, g/cm3: 13.17
VASP energy, eV per formula unit: -99.49

abc: 4.2813 6.0878 12.8108
angles: 90.00 90.00 90.00
Last column: nearest neighbours and their distance in Å.
Space group Immm (No. 71)
Symmetry-distinct sites (fractional):
Ti 0.0000 0.0000 0.0000 [2 per cell]  8 Os 2.65-2.66
Al 0.0000 0.0000 0.3318 [4 per cell]  8 Os 2.60-2.61
Al 0.0000 0.5000 0.0000 [2 per cell]  8 Os 2.60-2.63
Al 0.0000 0.5000 0.3366 [4 per cell]  8 Os 2.61-2.64
Os 0.0000 0.2434 0.5000 [4 per cell]  6 Al 2.60-2.61, 2 Ti 2.65
Os 0.0000 0.2541 0.1685 [8 per cell]  7 Al 2.60-2.64, 1 Ti 2.66

# 4
VASP calculation (PBE-GGA) on a geometry-optimized TiAl2Os2 structure.

## Properties
Total magnetic moment, μB per formula unit: 0.00
Excess energy over the best structure of this formula in the dataset, eV/atom: 0.000
Energy of formation from the pure elements, eV/atom: -0.406
Density, g/cm3: 10.29
VASP energy, eV per formula unit: -39.87

abc: 3.0317 16.6783 3.0794
angles: 90.00 90.00 90.00
Last column: nearest neighbours and their distance in Å.
Space group Cmmm (No. 65)
Symmetry-distinct sites (fractional):
Ti 0.0000 0.0000 0.0000 [2 per cell]  8 Os 2.67, 2 Al 2.97
Al 0.0000 0.1782 0.0000 [4 per cell]  4 Os 2.58, 2 Al 2.83
Os 0.0000 0.4060 0.5000 [4 per cell]  4 Al 2.58, 4 Ti 2.67

# 5
VASP calculation (PBE-GGA) on a geometry-optimized Ti8Al2Os structure.

## Properties
Total magnetic moment, μB per formula unit: 0.00
Energy of formation from the pure elements, eV/atom: -0.123
Density, g/cm3: 5.61
VASP energy, eV per formula unit: -83.23

abc: 7.2175 12.5092 4.7843
angles: 90.00 120.73 90.00
Last column: nearest neighbours and their distance in Å.
Space group C2/m (No. 12)
Symmetry-distinct sites (fractional):
Ti 0.0000 0.1999 0.0000 [4 per cell]  1 Os 2.50, 2 Al 2.71
Ti 0.1089 0.5000 0.7908 [4 per cell]  3 Ti 2.40-2.64, 1 Os 2.47
Ti 0.2160 0.1108 0.6632 [8 per cell]  5 Ti 2.64-2.95, 2 Al 2.74-2.76
Al 0.0000 0.3020 0.5000 [4 per cell]  8 Ti 2.71-2.76
Os 0.0000 0.0000 0.0000 [2 per cell]  4 Ti 2.47-2.50

# 6
VASP calculation (PBE-GGA) on a geometry-optimized TiAl3Os structure.

## Properties
Total magnetic moment, μB per formula unit: 1.47
Excess energy over the best structure of this formula in the dataset, eV/atom: 0.758
Energy of formation from the pure elements, eV/atom: 0.315
Density, g/cm3: 5.18
VASP energy, eV per formula unit: -28.78

abc: 4.6759 4.6759 4.6759
angles: 90.00 90.00 90.00
Last column: nearest neighbours and their distance in Å.
Space group Pm-3m (No. 221)
Symmetry-distinct sites (fractional):
Ti 0.0000 0.0000 0.0000 [1 per cell]  12 Al 3.31
Al 0.0000 0.5000 0.5000 [3 per cell]  2 Os 2.34
Os 0.5000 0.5000 0.5000 [1 per cell]  6 Al 2.34